Entry 1:
First-principles (PBE) data for a geometry-optimized Pm2NiAu2 structure, as listed in Alexandria via LeMat-Bulk.

```
Pm2NiAu2
1.0
5.289 -2.012 0.000
5.289 2.012 0.000
-4.240 0.000 10.631
Pm Ni Au
4 2 4
Direct
0.007 0.007 0.341
0.188 0.188 0.121
0.812 0.812 0.879
0.993 0.993 0.659
0.300 0.300 0.687
0.700 0.700 0.313
0.340 0.340 0.444
0.466 0.466 0.115
0.534 0.534 0.885
0.660 0.660 0.556
```

space group = C2/m (12)
E_form = -669 meV/atom
spin magnetization = 0.00 μB/cell



Entry 2:
First-principles (PBE) data for a geometry-optimized PmNi3Au9 structure, as listed in Alexandria via LeMat-Bulk.

```
PmNi3Au9
1.0
2.676 -6.536 0.000
2.676 6.536 0.000
-2.567 0.000 6.561
Pm Ni Au
1 3 9
Direct
0.000 0.000 0.000
0.000 0.500 0.000
0.500 0.000 0.000
0.500 0.500 0.500
0.000 0.000 0.500
0.011 0.663 0.672
0.296 0.517 0.787
0.337 0.989 0.328
0.483 0.704 0.213
0.517 0.296 0.787
0.663 0.011 0.672
0.704 0.483 0.213
0.989 0.337 0.328
```

space group = C2/m (12)
E_form = -195 meV/atom
spin magnetization = 0.00 μB/cell



Entry 3:
First-principles (PBE) data for a geometry-optimized Pm5Ni2Au structure, as listed in Alexandria via LeMat-Bulk.

```
Pm5Ni2Au
1.0
-3.931 3.931 6.566
3.931 -3.931 6.566
3.931 3.931 -6.566
Pm Ni Au
10 4 2
Direct
0.000 0.000 0.000
0.024 0.524 0.826
0.198 0.024 0.500
0.302 0.802 0.826
0.476 0.302 0.500
0.500 0.500 0.000
0.524 0.698 0.500
0.698 0.198 0.174
0.802 0.976 0.500
0.976 0.476 0.174
0.121 0.379 0.500
0.379 0.879 0.258
0.621 0.121 0.742
0.879 0.621 0.500
0.250 0.250 0.000
0.750 0.750 0.000
```

space group = I4/mcm (140)
E_form = -375 meV/atom
spin magnetization = 0.00 μB/cell



Entry 4:
First-principles (PBE) data for a geometry-optimized Pm6NiAu2 structure, as listed in Alexandria via LeMat-Bulk.

```
Pm6NiAu2
1.0
6.917 0.000 0.000
0.000 7.344 0.000
-6.480 0.000 10.399
Pm Ni Au
12 2 4
Direct
0.117 0.188 0.439
0.117 0.312 0.939
0.255 0.683 0.436
0.255 0.817 0.936
0.382 0.020 0.245
0.382 0.480 0.745
0.618 0.520 0.255
0.618 0.980 0.755
0.745 0.183 0.064
0.745 0.317 0.564
0.883 0.688 0.061
0.883 0.812 0.561
0.500 0.000 0.500
0.500 0.500 0.000
0.187 0.108 0.739
0.187 0.392 0.239
0.813 0.608 0.761
0.813 0.892 0.261
```

space group = P2_1/c (14)
E_form = -395 meV/atom
spin magnetization = 0.00 μB/cell



Entry 5:
First-principles (PBE) data for a geometry-optimized Pm2Ni3Au structure, as listed in Alexandria via LeMat-Bulk.

```
Pm2Ni3Au
1.0
0.000 4.207 7.313
3.872 0.000 7.313
3.872 4.207 0.000
Pm Ni Au
4 6 2
Direct
0.247 0.753 0.753
0.250 0.250 0.250
0.750 0.750 0.750
0.753 0.247 0.247
0.158 0.683 0.317
0.159 0.159 0.841
0.317 0.842 0.158
0.683 0.158 0.842
0.841 0.841 0.159
0.842 0.317 0.683
0.334 0.334 0.666
0.666 0.666 0.334
```

space group = Fmmm (69)
E_form = -411 meV/atom
spin magnetization = 0.00 μB/cell



Entry 6:
First-principles (PBE) data for a geometry-optimized Pm3Ni2Au structure, as listed in Alexandria via LeMat-Bulk.

```
Pm3Ni2Au
1.0
3.545 0.000 0.000
0.000 3.545 0.000
0.000 0.000 10.683
Pm Ni Au
3 2 1
Direct
0.000 0.000 0.000
0.000 0.000 0.318
0.000 0.000 0.682
0.500 0.500 0.161
0.500 0.500 0.839
0.500 0.500 0.500
```

space group = P4/mmm (123)
E_form = -423 meV/atom
spin magnetization = 0.00 μB/cell